Compound: CdCoSn2Cl
Source: Alexandria via LeMat-Bulk
Functional: PBE
Structure: relaxed

abc: 4.8324 4.8324 5.1555
angles: 90.00 90.00 90.00
Last column: nearest neighbours and their distance in Å.
Positions (direct):
Cl  0.5000  0.5000  0.5000  4 Cd 3.42, 8 Sn 3.53
Co  0.0000  0.0000  0.0000  4 Sn 2.42, 2 Cd 2.58
Sn  0.0000  0.5000  0.0000  2 Co 2.42
Sn  0.5000  0.0000  0.0000  2 Co 2.42
Cd  0.0000  0.0000  0.5000  2 Co 2.58

Output
Total magnetic moment ... 0.000 μB per atom
Formation energy without anion corrections ... -0.2312 eV per atom